i.
{
  "formula": "YTl3Pt",
  "functional": "GGA-PBE",
  "state": "relaxed",
  "space_group": "Pm-3m, No. 221",
  "cell": [[5.303, 0.000, 0.000], [0.000, 5.303, 0.000], [0.000, 0.000, 5.303]],
  "species": ["Y", "Tl", "Tl", "Tl", "Pt"],
  "frac_coords": [[0.500, 0.500, 0.500], [0.000, 0.500, 0.000], [0.000, 0.000, 0.500], [0.500, 0.000, 0.000], [0.000, 0.000, 0.000]]
}

***

ii.
{
  "formula": "YTl3Pt",
  "functional": "GGA-PBE",
  "state": "relaxed",
  "space_group": "Pm-3m, No. 221",
  "cell": [[5.813, 0.000, 0.000], [0.000, 5.813, 0.000], [0.000, 0.000, 5.813]],
  "species": ["Y", "Tl", "Tl", "Tl", "Pt"],
  "frac_coords": [[0.000, 0.000, 0.000], [0.000, 0.500, 0.000], [0.000, 0.000, 0.500], [0.500, 0.000, 0.000], [0.500, 0.500, 0.500]]
}

***

The least stable of them is ii.